A plane-wave DFT calculation with GGA-PBE was carried out for crystalline CsErCdI6 at its relaxed geometry.

Lattice parameters (Å, degrees): 7.8385 7.8385 8.7216 90.00 90.00 120.00
Last column: nearest neighbours and their distance in Å.
Space group P312 (No. 149)
Asymmetric unit:
Cs 0.0000 0.0000 0.0000  6 I 3.92
Er 0.3333 0.6667 0.5000  6 I 3.03
Cd 0.6667 0.3333 0.5000  6 I 3.04
I 0.0013 0.3737 0.7014  1 Er 3.03, 1 Cd 3.04

**DFT total energy**: -25.99 eV for the cell shown
**Total moment**: 0.000 μB per atom
**Crystal system**: trigonal
**DOS at the Fermi energy**: 0.000 states/eV/f.u.
**ρ**: 4.2 g/cm³


A plane-wave DFT calculation with GGA-PBE was carried out for crystalline AlIn2O at its relaxed geometry.

Lattice parameters (Å, degrees): 3.0653 3.1316 9.6206 91.70 90.31 119.07
Last column: nearest neighbours and their distance in Å.
Space group P1 (No. 1)
Asymmetric unit:
Al 0.0000 0.0000 0.0000  3 O 1.89-1.91
In 0.3270 0.6556 0.4387  7 In 3.07-3.19
In 0.6254 0.2265 0.7338  3 Al 3.04-3.26, 7 In 3.07-3.19
O 0.3361 0.6681 0.0635  3 Al 1.89-1.91

**DFT total energy**: -18.02 eV for the cell shown
**Total moment**: 0.000 μB per atom
**Crystal system**: triclinic
**DOS at the Fermi energy**: 0.923 states/eV/f.u.
**ρ**: 5.6 g/cm³


A plane-wave DFT calculation with GGA-PBE was carried out for crystalline Ac2CeAs2Se2 at its relaxed geometry.

Lattice parameters (Å, degrees): 5.4396 5.4396 15.7041 90.00 90.00 90.00
Last column: nearest neighbours and their distance in Å.
Space group I4/mmm (No. 139)
Asymmetric unit:
Ac 0.0000 0.0000 0.1270  1 Se 2.98
Ce 0.0000 0.0000 0.5000  4 As 2.72, 2 Se 2.88
As 0.0000 0.5000 0.0000  2 Ce 2.72
Se 0.0000 0.0000 0.3166  1 Ce 2.88, 1 Ac 2.98

**DFT total energy**: -80.29 eV for the cell shown
**Total moment**: 0.000 μB per atom
**Crystal system**: tetragonal
**DOS at the Fermi energy**: 0.127 states/eV/f.u.
**ρ**: 6.4 g/cm³


A plane-wave DFT calculation with GGA-PBE was carried out for crystalline Tb3Ho5As8 at its relaxed geometry.

Lattice parameters (Å, degrees): 8.2276 8.2276 20.1529 90.00 90.00 120.00
Last column: nearest neighbours and their distance in Å.
Space group R-3m (No. 166, hexagonal axes)
Asymmetric unit:
Tb 0.0000 0.5000 0.0000  6 As 2.92
Ho 0.0000 0.0000 0.0000  6 As 2.91
Ho 0.0000 0.0000 0.5000  6 As 2.91
Ho 0.0000 0.5000 0.5000  6 As 2.90
As 0.0000 0.0000 0.2492  3 Ho 2.90, 3 Tb 2.92
As 0.0011 0.5005 0.7505  4 Ho 2.90-2.91, 2 Tb 2.92

**Total moment**: 0.000 μB per atom
**Crystal system**: trigonal
**DOS at the Fermi energy**: 2.573 states/eV/f.u.
**ρ**: 8.0 g/cm³
**E_form**: -1.533 eV/atom


A plane-wave DFT calculation with GGA-PBE was carried out for crystalline Ba2MgSb3Pt4 at its relaxed geometry.

Lattice parameters (Å, degrees): 4.7591 4.7591 10.7134 90.00 90.00 90.00
Last column: nearest neighbours and their distance in Å.
Space group P-4m2 (No. 115)
Asymmetric unit:
Ba 0.0000 0.5000 0.2451  8 Pt 3.54-3.65, 7 Sb 3.60-3.96, 2 Mg 3.62
Mg 0.0000 0.0000 0.5000  4 Pt 2.71
Sb 0.0000 0.5000 0.8755  5 Pt 2.72-2.73
Sb 0.5000 0.5000 0.5000  4 Pt 2.71
Pt 0.0000 0.0000 0.0000  4 Sb 2.73
Pt 0.0000 0.5000 0.6219  3 Sb 2.71-2.72, 2 Mg 2.71
Pt 0.5000 0.5000 0.0000  4 Sb 2.73

**DFT total energy**: -50.37 eV for the cell shown
**Total moment**: 0.000 μB per atom
**Crystal system**: tetragonal
**DOS at the Fermi energy**: 3.311 states/eV/f.u.
**ρ**: 9.9 g/cm³


A plane-wave DFT calculation with GGA-PBE was carried out for crystalline AgSb3Pt12 at its relaxed geometry.

Lattice parameters (Å, degrees): 4.0629 4.0629 16.2972 90.00 90.00 90.00
Last column: nearest neighbours and their distance in Å.
Space group P4/mmm (No. 123)
Asymmetric unit:
Ag 0.0000 0.0000 0.0000  12 Pt 2.85-2.87
Sb 0.0000 0.0000 0.2353  8 Pt 2.74-2.89
Sb 0.0000 0.0000 0.5000  12 Pt 2.86-2.87
Pt 0.0000 0.5000 0.1229  2 Sb 2.74, 8 Pt 2.85-2.97, 2 Ag 2.85
Pt 0.0000 0.5000 0.3766  8 Pt 2.83-2.87, 4 Sb 2.86-3.07
Pt 0.5000 0.5000 0.0000  8 Pt 2.85, 4 Ag 2.87
Pt 0.5000 0.5000 0.2557  8 Pt 2.83-2.97, 4 Sb 2.89
Pt 0.5000 0.5000 0.5000  8 Pt 2.86, 4 Sb 2.87

**DFT total energy**: -90.24 eV for the cell shown
**Total moment**: 0.000 μB per atom
**Crystal system**: tetragonal
**DOS at the Fermi energy**: 6.365 states/eV/f.u.
**ρ**: 17.4 g/cm³